Entry 1
Compound: La2Tb8Nd
Source: Alexandria
Functional: PBE
Structure: optimized geometry

abc: 9.5349 9.5349 8.0716
angles: 104.76 104.76 31.09
Last column: nearest neighbours and their distance in Å.
Fractional coordinates of all 11 atoms:
La: 0.2274 0.2274 0.1370  10 Tb 3.60-3.65, 2 La 3.62
La: 0.7726 0.7726 0.8630  10 Tb 3.60-3.65, 2 La 3.62
Tb: 0.0438 0.0438 0.2265  9 Tb 3.57-3.61, 2 Nd 3.60, 1 La 3.63
Tb: 0.1353 0.1353 0.6770  7 Tb 3.58-3.64, 2 Nd 3.59, 3 La 3.63-3.65
Tb: 0.3189 0.3189 0.5934  8 Tb 3.59-3.63, 1 Nd 3.60, 3 La 3.60-3.62
Tb: 0.4106 0.4106 0.0452  8 Tb 3.55-3.64, 1 Nd 3.60, 3 La 3.63
Tb: 0.5894 0.5894 0.9548  8 Tb 3.55-3.64, 1 Nd 3.60, 3 La 3.63
Tb: 0.6811 0.6811 0.4066  8 Tb 3.59-3.63, 1 Nd 3.60, 3 La 3.60-3.62
Tb: 0.8647 0.8647 0.3230  7 Tb 3.58-3.64, 2 Nd 3.59, 3 La 3.63-3.65
Tb: 0.9562 0.9562 0.7735  9 Tb 3.57-3.61, 2 Nd 3.60, 1 La 3.63
Nd: 0.5000 0.5000 0.5000  12 Tb 3.59-3.60

Output
Space-group type   C2/m, No. 12

=====

Entry 2
Compound: La2Tb8Nd
Source: Alexandria
Functional: PBE
Structure: optimized geometry

abc: 9.4656 9.4656 9.4656
angles: 145.54 128.49 63.45
Last column: nearest neighbours and their distance in Å.
Fractional coordinates of all 11 atoms:
La: 0.2007 0.2007 0.0000  10 Tb 3.44-3.65
La: 0.7993 0.7993 0.0000  10 Tb 3.44-3.65
Tb: 0.0704 0.3640 0.7064  1 Nd 3.26, 3 Tb 3.40-3.56, 3 La 3.44-3.57
Tb: 0.2066 0.0000 0.2066  7 Tb 3.40-3.56, 2 La 3.65, 2 Nd 3.70
Tb: 0.3403 0.8403 0.5000  8 Tb 3.53-3.72, 2 La 3.59, 2 Nd 3.80
Tb: 0.3424 0.6360 0.7064  1 Nd 3.26, 3 Tb 3.40-3.56, 3 La 3.44-3.57
Tb: 0.6576 0.3640 0.2936  1 Nd 3.26, 3 Tb 3.40-3.56, 3 La 3.44-3.57
Tb: 0.6597 0.1597 0.5000  8 Tb 3.53-3.72, 2 La 3.59, 2 Nd 3.80
Tb: 0.7934 0.0000 0.7934  7 Tb 3.40-3.56, 2 La 3.65, 2 Nd 3.70
Tb: 0.9296 0.6360 0.2936  1 Nd 3.26, 3 Tb 3.40-3.56, 3 La 3.44-3.57
Nd: 0.5000 0.5000 0.0000  4 Tb 3.26

Output
Space-group type   Immm, No. 71

=====

If you had to name the least stable structure above, which would it be? It would be entry 2.